The following is a PBE calculation of a relaxed structure of RbYCo, from OQMD.

The space group is F-43m (No. 216) and the conventional cell measures 7.027, 7.027 and 7.027 Å, with angles of 90.00, 90.00 and 90.00 degrees. The asymmetric unit holds Rb at (0.000, 0.000, 0.000), Y at (0.000, 0.000, 0.500) and Co at (0.250, 0.250, 0.250).

For the volume, the calculation gives 28.92 Å³/atom. Its total energy is -46.10 eV per cell. For the energy relative to the lowest polymorph listed for this composition, the calculation gives 0.000 eV per atom.



The following is a PBE calculation of a relaxed structure of YTm2Lu4Ni2Te2, from OQMD.

The space group is Imm2 (No. 44) and the conventional cell measures 3.816, 15.334 and 9.422 Å, with angles of 90.00, 90.00 and 90.00 degrees. The asymmetric unit holds Y at (0.000, 0.000, 0.000), Tm at (0.000, 0.134, 0.418), Lu at (0.000, 0.314, 0.622), Lu at (0.000, 0.352, 0.271), Ni at (0.000, 0.238, 0.929), Te at (0.000, 0.000, 0.664) and Te at (0.000, 0.500, 0.766).

For the volume, the calculation gives 25.06 Å³/atom. Its total energy is -117.04 eV per cell. For the energy relative to the lowest polymorph listed for this composition, the calculation gives 0.001 eV per atom.



The following is a PBE calculation of a relaxed structure of AcHgGe, from OQMD.

The space group is F-43m (No. 216) and the conventional cell measures 7.211, 7.211 and 7.211 Å, with angles of 90.00, 90.00 and 90.00 degrees. The asymmetric unit holds Ac at (0.000, 0.000, 0.000), Hg at (0.000, 0.000, 0.500) and Ge at (0.250, 0.250, 0.250).

For the volume, the calculation gives 31.25 Å³/atom. Its total energy is -40.61 eV per cell. For the energy relative to the lowest polymorph listed for this composition, the calculation gives 0.000 eV per atom.



The following is a PBE calculation of a relaxed structure of Cu6Ag6Sb4TeSe12, from OQMD.

The space group is I-43m (No. 217) and the conventional cell measures 11.512, 11.512 and 11.512 Å, with angles of 90.00, 90.00 and 90.00 degrees. The asymmetric unit holds Cu at (0.000, 0.000, 0.223), Ag at (0.000, 0.250, 0.500), Sb at (0.241, 0.241, 0.241), Te at (0.000, 0.000, 0.000) and Se at (0.113, 0.113, 0.648).

For the volume, the calculation gives 26.30 Å³/atom. Its total energy is -207.57 eV per cell. For the energy relative to the lowest polymorph listed for this composition, the calculation gives 0.041 eV per atom.